(1)
LaAlCd | PBE | relaxed

a = 4.854 Å, b = 4.854 Å, c = 11.505 Å
α = 90.00°, β = 90.00°, γ = 120.00°
Fractional coordinates of all 9 atoms:
La: 0.000 0.000 0.000
La: 0.000 0.000 0.668
La: 0.000 0.000 0.332
Al: 0.667 0.333 0.149
Al: 0.667 0.333 0.851
Al: 0.333 0.667 0.500
Cd: 0.333 0.667 0.178
Cd: 0.333 0.667 0.822
Cd: 0.667 0.333 0.500

Calculated values
E_form in meV per atom: -385
Size of the total moment in μB per formula unit: 0.0
E_tot in eV for the cell shown: -32.22
Space group: P-6m2 (187)

(2)
LiAgP | PBE | relaxed

a = 6.570 Å, b = 6.570 Å, c = 6.570 Å
α = 155.93°, β = 155.93°, γ = 34.30°
Fractional coordinates of all 3 atoms:
Ag: 0.996 0.996 0.000
Li: 0.324 0.324 0.000
P: 0.680 0.680 0.000

Calculated values
E_form in meV per atom: -27
Size of the total moment in μB per formula unit: 0.0
E_tot in eV for the cell shown: -10.26
Space group: I4mm (107)

(3)
Tl2P | PBE | relaxed

a = 4.180 Å, b = 4.180 Å, c = 5.552 Å
α = 90.00°, β = 90.00°, γ = 120.00°
Fractional coordinates of all 3 atoms:
Tl: 0.667 0.333 0.729
Tl: 0.333 0.667 0.271
P: 0.000 0.000 0.000

Calculated values
E_form in meV per atom: 148
Size of the total moment in μB per formula unit: 0.0
E_tot in eV for the cell shown: -9.70
Space group: P-3m1 (164)

(4)
SmLuGeRu | PBE | relaxed

a = 4.933 Å, b = 4.933 Å, c = 4.933 Å
α = 60.00°, β = 60.00°, γ = 60.00°
Fractional coordinates of all 4 atoms:
Ru: 0.750 0.750 0.750
Ge: 0.250 0.250 0.250
Lu: 0.500 0.500 0.500
Sm: 0.000 0.000 0.000

Calculated values
E_form in meV per atom: -443
Size of the total moment in μB per formula unit: 0.0
E_tot in eV for the cell shown: -24.91
Space group: F-43m (216)

Copy entry 4 word for word.
SmLuGeRu | PBE | relaxed

a = 4.933 Å, b = 4.933 Å, c = 4.933 Å
α = 60.00°, β = 60.00°, γ = 60.00°
Fractional coordinates of all 4 atoms:
Ru: 0.750 0.750 0.750
Ge: 0.250 0.250 0.250
Lu: 0.500 0.500 0.500
Sm: 0.000 0.000 0.000

Calculated values
E_form in meV per atom: -443
Size of the total moment in μB per formula unit: 0.0
E_tot in eV for the cell shown: -24.91
Space group: F-43m (216)